(1)
This record from Alexandria via LeMat-Bulk describes a PBEsol-optimized structure of BaTiPd3. The functional is SCAN.

The calculation puts the formation energy at -0.144 eV per atom.

It has space group Pm-3m (No. 221), with a = 4.8213 Å, b = 4.8213 Å, c = 4.8213 Å, α = 90.00°, β = 90.00° and γ = 90.00°. Symmetry generates all atoms from Ba at (0.0000, 0.0000, 0.0000), Ti at (0.5000, 0.5000, 0.5000) and Pd at (0.0000, 0.5000, 0.5000).

---

(2)
This record from Alexandria via LeMat-Bulk describes a PBEsol-optimized structure of BaTl2Pd2. The functional is SCAN.

The calculation puts the formation energy at -0.448 eV per atom.

It has space group I4/mmm (No. 139), with a = 4.9458 Å, b = 4.9458 Å, c = 10.4196 Å, α = 90.00°, β = 90.00° and γ = 90.00°. Symmetry generates all atoms from Ba at (0.0000, 0.0000, 0.0000), Tl at (0.0000, 0.0000, 0.3556) and Pd at (0.0000, 0.5000, 0.2500).

---

(3)
This record from Alexandria via LeMat-Bulk describes a PBEsol-optimized structure of BaZn2Pd2. The functional is SCAN.

The calculation puts the formation energy at -0.505 eV per atom.

It has space group I4/mmm (No. 139), with a = 4.3485 Å, b = 4.3485 Å, c = 10.8470 Å, α = 90.00°, β = 90.00° and γ = 90.00°. Symmetry generates all atoms from Ba at (0.0000, 0.0000, 0.0000), Zn at (0.0000, 0.5000, 0.2500) and Pd at (0.0000, 0.0000, 0.3735).

---

(4)
This record from Alexandria via LeMat-Bulk describes a PBEsol-optimized structure of Ba3ZrPd. The functional is SCAN.

The calculation puts the formation energy at 0.323 eV per atom.

It has space group Pm-3m (No. 221), with a = 5.9878 Å, b = 5.9878 Å, c = 5.9878 Å, α = 90.00°, β = 90.00° and γ = 90.00°. Symmetry generates all atoms from Ba at (0.0000, 0.0000, 0.5000), Zr at (0.5000, 0.5000, 0.5000) and Pd at (0.0000, 0.0000, 0.0000).

---

(5)
This record from Alexandria via LeMat-Bulk describes a PBEsol-optimized structure of BaPr2S4. The functional is SCAN.

The formation energy without anion corrections comes out at -2.352 eV/atom.

It has space group I-42d (No. 122), with a = 8.7593 Å, b = 8.7593 Å, c = 8.7576 Å, α = 90.00°, β = 90.00° and γ = 90.00°. Symmetry generates all atoms from Ba at (0.0000, 0.0000, 0.0000), Pr at (0.1259, 0.7500, 0.6250) and S at (0.0801, 0.6664, 0.9385).

---

(6)
This record from Alexandria via LeMat-Bulk describes a PBEsol-optimized structure of BaPr2Se4. The functional is SCAN.

The formation energy without anion corrections comes out at -2.193 eV/atom.

It has space group I-42d (No. 122), with a = 9.1033 Å, b = 9.1033 Å, c = 9.0842 Å, α = 90.00°, β = 90.00° and γ = 90.00°. Symmetry generates all atoms from Ba at (0.0000, 0.0000, 0.0000), Pr at (0.1267, 0.2500, 0.6250) and Se at (0.0803, 0.1666, 0.3102).

---

(7)
This record from Alexandria via LeMat-Bulk describes a PBEsol-optimized structure of BaPt2. The functional is SCAN.

The calculation puts the formation energy at -0.808 eV per atom.

It has space group Fd-3m (No. 227, origin choice 2), with a = 7.9278 Å, b = 7.9278 Å, c = 7.9278 Å, α = 90.00°, β = 90.00° and γ = 90.00°. Symmetry generates all atoms from Ba at (0.1250, 0.1250, 0.1250) and Pt at (0.0000, 0.0000, 0.5000).

---

(8)
This record from Alexandria via LeMat-Bulk describes a PBEsol-optimized structure of BaPt4. The functional is SCAN.

The calculation puts the formation energy at 1.530 eV per atom.

It has space group Im-3m (No. 229), with a = 6.1781 Å, b = 6.1781 Å, c = 6.1781 Å, α = 90.00°, β = 90.00° and γ = 90.00°. Symmetry generates all atoms from Ba at (0.0000, 0.0000, 0.0000) and Pt at (0.2500, 0.2500, 0.2500).

---

(9)
This record from Alexandria via LeMat-Bulk describes a PBEsol-optimized structure of BaPt3. The functional is SCAN.

The calculation puts the formation energy at -0.679 eV per atom.

It has space group Pmmn (No. 59, origin choice 2), with a = 4.5426 Å, b = 7.7461 Å, c = 5.6125 Å, α = 90.00°, β = 90.00° and γ = 90.00°. Symmetry generates all atoms from Ba at (0.2500, 0.2500, 0.0690), Pt at (0.2500, 0.0757, 0.5603) and Pt at (0.2500, 0.7500, 0.4340).

---

(10)
This record from Alexandria via LeMat-Bulk describes a PBEsol-optimized structure of BaPt5. The functional is SCAN.

The calculation puts the formation energy at -0.128 eV per atom.

It has space group Cm (No. 8), with a = 12.2669 Å, b = 2.9052 Å, c = 6.6581 Å, α = 90.00°, β = 92.83° and γ = 90.00°. Symmetry generates all atoms from Ba at (0.0000, 0.0000, 0.0000), Pt at (0.1213, 0.5000, 0.6141), Pt at (0.2355, 0.5000, 0.9668), Pt at (0.3015, 0.0000, 0.2718), Pt at (0.3052, 0.0000, 0.6609) and Pt at (0.4586, 0.5000, 0.4822).

---

(11)
This record from Alexandria via LeMat-Bulk describes a PBEsol-optimized structure of BaPt5. The functional is SCAN.

The calculation puts the formation energy at -0.547 eV per atom.

It has space group P6/mmm (No. 191), with a = 5.5211 Å, b = 5.5211 Å, c = 4.3019 Å, α = 90.00°, β = 90.00° and γ = 120.00°. Symmetry generates all atoms from Ba at (0.0000, 0.0000, 0.0000), Pt at (0.0000, 0.5000, 0.5000) and Pt at (0.3333, 0.6667, 0.0000).

---

(12)
This record from Alexandria via LeMat-Bulk describes a PBEsol-optimized structure of Ba5Pt3. The functional is SCAN.

The calculation puts the formation energy at -0.695 eV per atom.

It has space group P6_3/mcm (No. 193), with a = 9.1422 Å, b = 9.1422 Å, c = 7.3540 Å, α = 90.00°, β = 90.00° and γ = 120.00°. Symmetry generates all atoms from Ba at (0.0000, 0.2643, 0.2500), Ba at (0.3333, 0.6667, 0.0000) and Pt at (0.0000, 0.3893, 0.7500).

---

(13)
This record from Alexandria via LeMat-Bulk describes a PBEsol-optimized structure of BaPt3. The functional is SCAN.

The calculation puts the formation energy at -0.089 eV per atom.

It has space group Pmmm (No. 47), with a = 2.9364 Å, b = 3.8124 Å, c = 7.1715 Å, α = 90.00°, β = 90.00° and γ = 90.00°. Symmetry generates all atoms from Ba at (0.0000, 0.0000, 0.0000), Pt at (0.0000, 0.0000, 0.5000) and Pt at (0.5000, 0.5000, 0.3133).

---

(14)
This record from Alexandria via LeMat-Bulk describes a PBEsol-optimized structure of BaPt3. The functional is SCAN.

The calculation puts the formation energy at -0.717 eV per atom.

It has space group C2/m (No. 12), with a = 7.8506 Å, b = 4.5334 Å, c = 6.0165 Å, α = 90.00°, β = 115.95° and γ = 90.00°. Symmetry generates all atoms from Ba at (0.0000, 0.0000, 0.0000), Pt at (0.0000, 0.5000, 0.5000) and Pt at (0.1839, 0.0000, 0.5515).

---

(15)
This record from Alexandria via LeMat-Bulk describes a PBEsol-optimized structure of BaPt2. The functional is SCAN.

The calculation puts the formation energy at -0.767 eV per atom.

It has space group I4_1/amd (No. 141, origin choice 2), with a = 4.5091 Å, b = 4.5091 Å, c = 14.9466 Å, α = 90.00°, β = 90.00° and γ = 90.00°. Symmetry generates all atoms from Ba at (0.0000, 0.2500, 0.3750) and Pt at (0.0000, 0.2500, 0.7890).

---

(16)
This record from Alexandria via LeMat-Bulk describes a PBEsol-optimized structure of Rb2BaPt. The functional is SCAN.

The calculation puts the formation energy at 0.293 eV per atom.

It has space group Fm-3m (No. 225), with a = 8.2404 Å, b = 8.2404 Å, c = 8.2404 Å, α = 90.00°, β = 90.00° and γ = 90.00°. Symmetry generates all atoms from Rb at (0.2500, 0.2500, 0.2500), Ba at (0.0000, 0.0000, 0.0000) and Pt at (0.0000, 0.0000, 0.5000).

---

(17)
This record from Alexandria via LeMat-Bulk describes a PBEsol-optimized structure of RbBa2Pt2. The functional is SCAN.

The calculation puts the formation energy at -0.450 eV per atom.

It has space group I4/mmm (No. 139), with a = 5.3790 Å, b = 5.3790 Å, c = 11.8477 Å, α = 90.00°, β = 90.00° and γ = 90.00°. Symmetry generates all atoms from Rb at (0.0000, 0.0000, 0.0000), Ba at (0.0000, 0.5000, 0.2500) and Pt at (0.0000, 0.0000, 0.3889).

---

(18)
This record from Alexandria via LeMat-Bulk describes a PBEsol-optimized structure of RbBaSb2Pt. The functional is SCAN.

The formation energy without anion corrections comes out at 1.385 eV/atom.

It has space group P4/mmm (No. 123), with a = 5.7177 Å, b = 5.7177 Å, c = 5.9555 Å, α = 90.00°, β = 90.00° and γ = 90.00°. Symmetry generates all atoms from Rb at (0.0000, 0.0000, 0.0000), Ba at (0.0000, 0.0000, 0.5000), Sb at (0.0000, 0.5000, 0.0000) and Pt at (0.5000, 0.5000, 0.5000).

---

(19)
This record from Alexandria via LeMat-Bulk describes a PBEsol-optimized structure of BaRe2Pt. The functional is SCAN.

The calculation puts the formation energy at 0.845 eV per atom.

It has space group Imm2 (No. 44), with a = 3.2311 Å, b = 5.5818 Å, c = 9.6296 Å, α = 90.00°, β = 90.00° and γ = 90.00°. Symmetry generates all atoms from Ba at (0.0000, 0.0000, 0.0000), Re at (0.0000, 0.0000, 0.5070), Re at (0.0000, 0.5000, 0.1855) and Pt at (0.0000, 0.5000, 0.7955).

---

(20)
This record from Alexandria via LeMat-Bulk describes a PBEsol-optimized structure of BaRe2Pt. The functional is SCAN.

The calculation puts the formation energy at 0.252 eV per atom.

It has space group R3m (No. 160, hexagonal axes), with a = 4.2666 Å, b = 4.2666 Å, c = 18.2405 Å, α = 90.00°, β = 90.00° and γ = 120.00°. Symmetry generates all atoms from Ba at (0.0000, 0.0000, 0.0000), Re at (0.0000, 0.0000, 0.4839), Re at (0.0000, 0.0000, 0.8074) and Pt at (0.0000, 0.0000, 0.2098).

---

(21)
This record from Alexandria via LeMat-Bulk describes a PBEsol-optimized structure of BaRePt2. The functional is SCAN.

The calculation puts the formation energy at 0.430 eV per atom.

It has space group Immm (No. 71), with a = 3.7668 Å, b = 5.6925 Å, c = 8.6639 Å, α = 90.00°, β = 90.00° and γ = 90.00°. Symmetry generates all atoms from Ba at (0.0000, 0.0000, 0.0000), Re at (0.0000, 0.0000, 0.5000) and Pt at (0.0000, 0.5000, 0.1852).

---

(22)
This record from Alexandria via LeMat-Bulk describes a PBEsol-optimized structure of BaRe2Pt. The functional is SCAN.

The calculation puts the formation energy at 1.305 eV per atom.

It has space group F-43m (No. 216), with a = 6.6763 Å, b = 6.6763 Å, c = 6.6763 Å, α = 90.00°, β = 90.00° and γ = 90.00°. Symmetry generates all atoms from Ba at (0.0000, 0.0000, 0.0000), Re at (0.0000, 0.0000, 0.5000), Re at (0.2500, 0.2500, 0.2500) and Pt at (0.2500, 0.2500, 0.7500).

---

(23)
This record from Alexandria via LeMat-Bulk describes a PBEsol-optimized structure of BaRe2Pt2. The functional is SCAN.

The calculation puts the formation energy at 0.271 eV per atom.

It has space group I4/mmm (No. 139), with a = 4.5316 Å, b = 4.5316 Å, c = 10.0406 Å, α = 90.00°, β = 90.00° and γ = 90.00°. Symmetry generates all atoms from Ba at (0.0000, 0.0000, 0.0000), Re at (0.0000, 0.0000, 0.3840) and Pt at (0.0000, 0.5000, 0.2500).

---

(24)
This record from Alexandria via LeMat-Bulk describes a PBEsol-optimized structure of BaRePt2. The functional is SCAN.

The calculation puts the formation energy at 0.808 eV per atom.

It has space group Fm-3m (No. 225), with a = 6.8528 Å, b = 6.8528 Å, c = 6.8528 Å, α = 90.00°, β = 90.00° and γ = 90.00°. Symmetry generates all atoms from Ba at (0.0000, 0.0000, 0.0000), Re at (0.0000, 0.0000, 0.5000) and Pt at (0.2500, 0.2500, 0.2500).

---

(25)
This record from Alexandria via LeMat-Bulk describes a PBEsol-optimized structure of BaRePt3. The functional is SCAN.

The calculation puts the formation energy at 2.774 eV per atom.

It has space group Pm-3m (No. 221), with a = 5.1386 Å, b = 5.1386 Å, c = 5.1386 Å, α = 90.00°, β = 90.00° and γ = 90.00°. Symmetry generates all atoms from Ba at (0.0000, 0.0000, 0.0000), Re at (0.5000, 0.5000, 0.5000) and Pt at (0.0000, 0.0000, 0.5000).

---

(26)
This record from Alexandria via LeMat-Bulk describes a PBEsol-optimized structure of BaRePt2. The functional is SCAN.

The calculation puts the formation energy at 0.151 eV per atom.

It has space group P4/mmm (No. 123), with a = 2.9611 Å, b = 2.9611 Å, c = 8.6764 Å, α = 90.00°, β = 90.00° and γ = 90.00°. Symmetry generates all atoms from Ba at (0.0000, 0.0000, 0.0000), Re at (0.0000, 0.0000, 0.5000) and Pt at (0.5000, 0.5000, 0.3059).

---

(27)
This record from Alexandria via LeMat-Bulk describes a PBEsol-optimized structure of BaRe2Pt. The functional is SCAN.

The calculation puts the formation energy at 0.860 eV per atom.

It has space group Pmmm (No. 47), with a = 2.8292 Å, b = 4.1254 Å, c = 7.0899 Å, α = 90.00°, β = 90.00° and γ = 90.00°. Symmetry generates all atoms from Ba at (0.0000, 0.0000, 0.0000), Re at (0.5000, 0.5000, 0.3365) and Pt at (0.0000, 0.0000, 0.5000).